Pr3NdBr2N2 | the Open Quantum Materials Database | PBE | optimized geometry; volume = 178 Å³ per cell
1.0
3.738 0.000 0.000
-1.869 3.237 0.000
0.000 0.000 14.738
Nd N Br Pr
1 2 2 3
direct
0.333 0.667 0.090 Nd
0.667 0.333 0.500 N
0.667 0.333 0.003 N
0.000 0.000 0.248 Br
0.333 0.667 0.750 Br
0.000 0.000 0.591 Pr
0.000 0.000 0.909 Pr
0.333 0.667 0.409 Pr

---

ZrReMo | the Open Quantum Materials Database | PBE | optimized geometry; E above lowest polymorph = 0.000 eV/atom; volume = 108 Å³ per cell; formation enthalpy at 0 K = -0.2520 eV per atom
1.0
-2.673 2.675 3.771
2.673 -2.675 3.771
2.673 2.675 -3.771
Mo Zr Re
2 2 2
direct
0.500 0.500 0.500 Mo
0.500 0.000 0.000 Mo
0.123 0.373 0.750 Zr
0.877 0.627 0.250 Zr
0.000 0.000 0.000 Re
0.500 0.000 0.500 Re

---

YCoCuPb | the Open Quantum Materials Database | PBE | optimized geometry; E above lowest polymorph = 0.242 eV/atom; volume = 78 Å³ per cell
1.0
4.759 -0.455 -0.280
2.423 -2.061 3.579
1.959 -4.326 -0.614
Cu Pb Y Co
1 1 1 1
direct
0.750 0.750 0.750 Cu
0.000 0.000 0.000 Pb
0.250 0.250 0.250 Y
0.500 0.500 0.500 Co

---

PmTmPt | the Open Quantum Materials Database | PBE | optimized geometry; volume = 77 Å³ per cell; formation enthalpy at 0 K = -0.1522 eV per atom
1.0
0.000 3.371 3.371
3.371 0.000 3.371
3.371 3.371 0.000
Pt Tm Pm
1 1 1
direct
0.750 0.750 0.750 Pt
0.000 0.000 0.000 Tm
0.250 0.250 0.250 Pm

---

PrDyCu2 | the Open Quantum Materials Database | PBE | optimized geometry; E above lowest polymorph = 0.007 eV/atom; volume = 179 Å³ per cell; formation enthalpy at 0 K = -0.2072 eV per atom
1.0
5.537 0.000 0.000
0.000 4.477 0.000
-0.305 0.000 7.238
Pr Dy Cu
2 2 4
direct
0.365 0.750 0.314 Pr
0.635 0.250 0.686 Pr
0.869 0.250 0.175 Dy
0.131 0.750 0.825 Dy
0.367 0.250 0.031 Cu
0.633 0.750 0.969 Cu
0.117 0.250 0.536 Cu
0.883 0.750 0.464 Cu

---

GdLuIn4Ni2 | the Open Quantum Materials Database | PBE | optimized geometry; volume = 166 Å³ per cell
1.0
-0.949 -6.368 -3.733
-4.546 -1.135 3.091
-5.489 1.085 -0.455
Gd Ni In Lu
1 2 4 1
direct
0.000 0.435 0.435 Gd
0.500 0.284 0.284 Ni
0.000 0.718 0.718 Ni
0.202 0.144 0.144 In
0.301 0.855 0.855 In
0.798 0.144 0.144 In
0.699 0.855 0.855 In
0.500 0.564 0.564 Lu

---

Zr2AlCd2Ga | the Open Quantum Materials Database | PBE | optimized geometry; volume = 118 Å³ per cell
1.0
-3.329 0.863 3.043
4.178 -1.231 1.455
1.776 6.235 0.174
Cd Zr Al Ga
2 2 1 1
direct
0.000 0.000 0.500 Cd
0.333 0.667 0.000 Cd
0.667 0.333 0.751 Zr
0.667 0.333 0.249 Zr
0.000 0.000 0.000 Al
0.333 0.667 0.500 Ga

---

Mg2FeB | the Open Quantum Materials Database | PBE | optimized geometry; volume = 51 Å³ per cell
1.0
0.000 2.942 2.942
2.942 0.000 2.942
2.942 2.942 0.000
B Mg Fe
1 2 1
direct
0.500 0.500 0.500 B
0.750 0.750 0.750 Mg
0.000 0.000 0.000 Mg
0.250 0.250 0.250 Fe

---

| no. | electronic total energy (eV per atom) |
| --- | --- |
| 1 | -6.289 |
| 2 | -10.858 |
| 3 | -5.039 |
| 4 | -5.244 |
| 5 | -4.410 |
| 6 | -4.335 |
| 7 | -4.537 |
| 8 | -3.866 |